Entry from Alexandria: Ba3SrHg2 after structural relaxation (PBE-GGA).

Structure (extended XYZ):
```
6
Lattice="4.239 0.000 0.000 0.000 4.239 0.000 0.000 0.000 14.836" Properties=species:S:1:pos:R:3 pbc="T T T"
Ba 0.000 0.000 0.000
Ba 0.000 0.000 4.117
Ba 0.000 0.000 10.719
Sr 2.119 2.119 7.418
Hg 2.119 2.119 2.185
Hg 2.119 2.119 12.650
```

Summary:
space-group type	P4/mmm
M_tot	0.000	μB per atom
DOS(E_F)	5.9	states/eV per cell
mass density	5.61	Mg/m³
energy of formation from the pure elements	-34.64	kJ/mol of atoms